[1]
Below is InRhI2N after structural relaxation, with properties calculated at the PBE-GGA level.

Properties
Its volume is 25.76 Å³/atom. The value obtained for the energy relative to the lowest polymorph listed for this composition is 0 meV/atom. As for the uncorrected formation energy: 0.2004 eV/atom.

```
data_InRhI2N
_chemical_formula_sum 'In1 Rh1 I2 N1'
_symmetry_space_group_name_H-M 'P 4/m m m'
_symmetry_Int_Tables_number 123
_symmetry_space_group_name_Hall '-P 4 2'
_cell_length_a 5.8648
_cell_length_b 5.8648
_cell_length_c 3.7445
_cell_angle_alpha 90.00
_cell_angle_beta 90.00
_cell_angle_gamma 90.00
loop_
_atom_site_label
_atom_site_type_symbol
_atom_site_fract_x
_atom_site_fract_y
_atom_site_fract_z
_atom_site_occupancy
In1 In 0.0000 0.0000 0.0000 1
Rh1 Rh 0.5000 0.5000 0.5000 1
I1 I 0.0000 0.5000 0.5000 1
N1 N 0.5000 0.5000 0.0000 1
```


[2]
Below is InRhI2N after structural relaxation, with properties calculated at the PBE-GGA level.

Properties
Its volume is 28.64 Å³/atom. The value obtained for the energy relative to the lowest polymorph listed for this composition is 933 meV/atom. As for the uncorrected formation energy: 1.1337 eV/atom.

```
data_InRhI2N
_chemical_formula_sum 'In1 Rh1 I2 N1'
_symmetry_space_group_name_H-M 'P 4/m m m'
_symmetry_Int_Tables_number 123
_symmetry_space_group_name_Hall '-P 4 2'
_cell_length_a 5.9771
_cell_length_b 5.9771
_cell_length_c 4.0086
_cell_angle_alpha 90.00
_cell_angle_beta 90.00
_cell_angle_gamma 90.00
loop_
_atom_site_label
_atom_site_type_symbol
_atom_site_fract_x
_atom_site_fract_y
_atom_site_fract_z
_atom_site_occupancy
In1 In 0.0000 0.0000 0.0000 1
Rh1 Rh 0.5000 0.5000 0.5000 1
I1 I 0.0000 0.5000 0.0000 1
N1 N 0.0000 0.0000 0.5000 1
```


[3]
Below is InRhIN2 after structural relaxation, with properties calculated at the PBE-GGA level.

Properties
Its volume is 22.39 Å³/atom. The value obtained for the energy relative to the lowest polymorph listed for this composition is 483 meV/atom. As for the uncorrected formation energy: 1.6959 eV/atom.

```
data_InRhIN2
_chemical_formula_sum 'In1 Rh1 I1 N2'
_symmetry_space_group_name_H-M 'P 4/m m m'
_symmetry_Int_Tables_number 123
_symmetry_space_group_name_Hall '-P 4 2'
_cell_length_a 4.1473
_cell_length_b 4.1473
_cell_length_c 6.5078
_cell_angle_alpha 90.00
_cell_angle_beta 90.00
_cell_angle_gamma 90.00
loop_
_atom_site_label
_atom_site_type_symbol
_atom_site_fract_x
_atom_site_fract_y
_atom_site_fract_z
_atom_site_occupancy
In1 In 0.0000 0.0000 0.0000 1
Rh1 Rh 0.5000 0.5000 0.5000 1
I1 I 0.0000 0.0000 0.5000 1
N1 N 0.0000 0.5000 0.0000 1
```


[4]
Below is InRhIN2 after structural relaxation, with properties calculated at the PBE-GGA level.

Properties
Its volume is 19.65 Å³/atom. The value obtained for the energy relative to the lowest polymorph listed for this composition is 0 meV/atom. As for the uncorrected formation energy: 1.2132 eV/atom.

```
data_InRhIN2
_chemical_formula_sum 'In1 Rh1 I1 N2'
_symmetry_space_group_name_H-M 'P 4/m m m'
_symmetry_Int_Tables_number 123
_symmetry_space_group_name_Hall '-P 4 2'
_cell_length_a 4.1467
_cell_length_b 4.1467
_cell_length_c 5.7138
_cell_angle_alpha 90.00
_cell_angle_beta 90.00
_cell_angle_gamma 90.00
loop_
_atom_site_label
_atom_site_type_symbol
_atom_site_fract_x
_atom_site_fract_y
_atom_site_fract_z
_atom_site_occupancy
In1 In 0.0000 0.0000 0.0000 1
Rh1 Rh 0.5000 0.5000 0.5000 1
I1 I 0.5000 0.5000 0.0000 1
N1 N 0.0000 0.5000 0.5000 1
```


[5]
Below is InSIN2 after structural relaxation, with properties calculated at the PBE-GGA level.

Properties
Its volume is 21.19 Å³/atom. The value obtained for the energy relative to the lowest polymorph listed for this composition is 0 meV/atom. As for the uncorrected formation energy: 1.4648 eV/atom.

```
data_InSIN2
_chemical_formula_sum 'In1 S1 I1 N2'
_symmetry_space_group_name_H-M 'P 4/m m m'
_symmetry_Int_Tables_number 123
_symmetry_space_group_name_Hall '-P 4 2'
_cell_length_a 4.3310
_cell_length_b 4.3310
_cell_length_c 5.6489
_cell_angle_alpha 90.00
_cell_angle_beta 90.00
_cell_angle_gamma 90.00
loop_
_atom_site_label
_atom_site_type_symbol
_atom_site_fract_x
_atom_site_fract_y
_atom_site_fract_z
_atom_site_occupancy
In1 In 0.0000 0.0000 0.0000 1
S1 S 0.0000 0.0000 0.5000 1
I1 I 0.5000 0.5000 0.5000 1
N1 N 0.0000 0.5000 0.0000 1
```


[6]
Below is InSIN2 after structural relaxation, with properties calculated at the PBE-GGA level.

Properties
Its volume is 28.41 Å³/atom. The value obtained for the energy relative to the lowest polymorph listed for this composition is 128 meV/atom. As for the uncorrected formation energy: 1.5924 eV/atom.

```
data_InSIN2
_chemical_formula_sum 'In1 S1 I1 N2'
_symmetry_space_group_name_H-M 'P 4/m m m'
_symmetry_Int_Tables_number 123
_symmetry_space_group_name_Hall '-P 4 2'
_cell_length_a 4.2139
_cell_length_b 4.2139
_cell_length_c 7.9984
_cell_angle_alpha 90.00
_cell_angle_beta 90.00
_cell_angle_gamma 90.00
loop_
_atom_site_label
_atom_site_type_symbol
_atom_site_fract_x
_atom_site_fract_y
_atom_site_fract_z
_atom_site_occupancy
In1 In 0.0000 0.0000 0.0000 1
S1 S 0.5000 0.5000 0.5000 1
I1 I 0.0000 0.0000 0.5000 1
N1 N 0.0000 0.5000 0.0000 1
```